Entry from the Alexandria database: a geometry-optimized Nd3YAu7 structure (GGA-PBE).

abc: 11.2372 11.2372 12.9966
angles: 90.00 90.00 160.46
Closest atoms and distances in Å follow each position.
Element x y z (fractional)
1 Nd 0.1394 0.8606 0.5553  9 Au 3.05-3.27
2 Nd 0.1394 0.8606 0.9447  9 Au 3.05-3.27
3 Nd 0.1910 0.8090 0.2500  8 Au 3.11-3.19
4 Nd 0.8090 0.1910 0.7500  8 Au 3.11-3.19
5 Nd 0.8606 0.1394 0.0553  9 Au 3.05-3.27
6 Nd 0.8606 0.1394 0.4447  9 Au 3.05-3.27
7 Y 0.0036 0.9964 0.2500  8 Au 2.99-3.18
8 Y 0.9964 0.0036 0.7500  8 Au 2.99-3.18
9 Au 0.2779 0.7221 0.5690  3 Au 2.90, 5 Nd 3.07-3.11
10 Au 0.2779 0.7221 0.9310  3 Au 2.90, 5 Nd 3.07-3.11
11 Au 0.3795 0.6205 0.2500  2 Au 2.89, 4 Nd 3.20
12 Au 0.4030 0.5970 0.6362  4 Au 2.90-3.20, 2 Y 3.18, 2 Nd 3.19
13 Au 0.4030 0.5970 0.8638  4 Au 2.90-3.20, 2 Y 3.18, 2 Nd 3.19
14 Au 0.4668 0.5332 0.0848  3 Au 2.65-2.96
15 Au 0.4668 0.5332 0.4152  3 Au 2.65-2.96
16 Au 0.5332 0.4668 0.5848  3 Au 2.65-2.96
17 Au 0.5332 0.4668 0.9152  3 Au 2.65-2.96
18 Au 0.5970 0.4030 0.1362  4 Au 2.90-3.20, 2 Y 3.18, 2 Nd 3.19
19 Au 0.5970 0.4030 0.3638  4 Au 2.90-3.20, 2 Y 3.18, 2 Nd 3.19
20 Au 0.6205 0.3795 0.7500  2 Au 2.89, 4 Nd 3.20
21 Au 0.7221 0.2779 0.0690  3 Au 2.90, 5 Nd 3.07-3.11
22 Au 0.7221 0.2779 0.4310  3 Au 2.90, 5 Nd 3.07-3.11

## Properties
ΔH_f (0 K), kJ/mol of formula units: -751
Space group: Cmcm
Uncorrected energy, eV per atom: -4.681